Record 1
# PBE-GGA Pd2RuSeBr, relaxed
# **Energy relative to the elements, uncorrected**: 12.8 kcal/mol of atoms
# **VASP energy**: -4.410 eV per atom
# **Magnetization**: 1.3 μB per cell
data_Pd2RuSeBr
_cell_length_a 4.778
_cell_length_b 4.778
_cell_length_c 4.690
_cell_angle_alpha 90.00
_cell_angle_beta 90.00
_cell_angle_gamma 90.00
_space_group_name_H-M_alt 'P 4/m m m'
_space_group_IT_number 123
_space_group_name_Hall '-P 4 2'
loop_
_atom_site_label
_atom_site_type_symbol
_atom_site_fract_x
_atom_site_fract_y
_atom_site_fract_z
Pd1 Pd 0.000 0.500 0.000
Ru1 Ru 0.000 0.000 0.500
Se1 Se 0.000 0.000 0.000
Br1 Br 0.500 0.500 0.500

Record 2
# PBE-GGA YbGa2Se4, relaxed
# **Energy relative to the elements, uncorrected**: -22.5 kcal/mol of atoms
# **VASP energy**: -4.051 eV per atom
# **Magnetization**: 0.9 μB per cell
data_YbGa2Se4
_cell_length_a 6.350
_cell_length_b 10.622
_cell_length_c 10.660
_cell_angle_alpha 90.00
_cell_angle_beta 90.00
_cell_angle_gamma 90.00
_space_group_name_H-M_alt 'C c c m'
_space_group_IT_number 66
_space_group_name_Hall '-C 2 2c'
loop_
_atom_site_label
_atom_site_type_symbol
_atom_site_fract_x
_atom_site_fract_y
_atom_site_fract_z
Yb1 Yb 0.000 0.000 0.250
Ga1 Ga 0.002 0.266 0.000
Se1 Se 0.225 0.075 0.500
Se2 Se 0.250 0.250 0.176

Record 3
# PBE-GGA Li3NpO6, relaxed
# **Energy relative to the elements, uncorrected**: -45.8 kcal/mol of atoms
# **VASP energy**: -6.831 eV per atom
# **Magnetization**: 0.0 μB per cell
data_Li3NpO6
_cell_length_a 5.460
_cell_length_b 5.797
_cell_length_c 7.952
_cell_angle_alpha 90.00
_cell_angle_beta 95.57
_cell_angle_gamma 90.00
_space_group_name_H-M_alt 'P 1 21 1'
_space_group_IT_number 4
loop_
_space_group_symop_operation_xyz
'x,y,z'
'-x,y+1/2,-z'
loop_
_atom_site_label
_atom_site_type_symbol
_atom_site_fract_x
_atom_site_fract_y
_atom_site_fract_z
Li1 Li 0.132 0.000 0.012
Li2 Li 0.159 0.499 0.291
Li3 Li 0.290 0.999 0.498
Np1 Np 0.261 0.500 0.728
O1 O 0.053 0.259 0.827
O2 O 0.054 0.741 0.827
O3 O 0.055 0.501 0.523
O4 O 0.482 0.252 0.406
O5 O 0.484 0.747 0.406
O6 O 0.496 0.999 0.092

Record 4
# PBE-GGA GaB2S6, relaxed
# **Energy relative to the elements, uncorrected**: -3.6 kcal/mol of atoms
# **VASP energy**: -4.726 eV per atom
# **Magnetization**: 3.6 μB per cell
data_GaB2S6
_cell_length_a 11.849
_cell_length_b 10.461
_cell_length_c 5.895
_cell_angle_alpha 90.00
_cell_angle_beta 109.64
_cell_angle_gamma 90.00
_space_group_name_H-M_alt 'C 1 2/c 1'
_space_group_IT_number 15
loop_
_space_group_symop_operation_xyz
'x,y,z'
'-x,-y,-z'
'-x,y,-z+1/2'
'x,-y,z+1/2'
'x+1/2,y+1/2,z'
'-x+1/2,-y+1/2,-z'
'-x+1/2,y+1/2,-z+1/2'
'x+1/2,-y+1/2,z+1/2'
loop_
_atom_site_label
_atom_site_type_symbol
_atom_site_fract_x
_atom_site_fract_y
_atom_site_fract_z
Ga1 Ga 0.000 0.228 0.250
B1 B 0.242 0.069 0.612
S1 S 0.082 0.102 0.585
S2 S 0.167 0.304 0.167
S3 S 0.200 0.429 0.661

Record 5
# PBE-GGA Ce3In2Hg2, relaxed
# **Calculated formation energy**: -145 meV/atom
# **VASP energy**: -3.557 eV per atom
# **Magnetization**: 3.5 μB per cell
data_Ce3In2Hg2
_cell_length_a 5.277
_cell_length_b 5.296
_cell_length_c 9.179
_cell_angle_alpha 73.88
_cell_angle_beta 73.43
_cell_angle_gamma 60.30
_space_group_name_H-M_alt 'P -1'
_space_group_IT_number 2
loop_
_space_group_symop_operation_xyz
'x,y,z'
'-x,-y,-z'
loop_
_atom_site_label
_atom_site_type_symbol
_atom_site_fract_x
_atom_site_fract_y
_atom_site_fract_z
Ce1 Ce 0.000 0.000 0.000
Ce2 Ce 0.253 0.254 0.239
In1 In 0.133 0.129 0.608
Hg1 Hg 0.385 0.383 0.847

Record 6
# PBE-GGA ErAs2IrRh5, relaxed
# **Calculated formation energy**: -103 meV/atom
# **VASP energy**: -6.711 eV per atom
# **Magnetization**: 0.0 μB per cell
data_ErAs2IrRh5
_cell_length_a 3.896
_cell_length_b 3.896
_cell_length_c 11.284
_cell_angle_alpha 90.00
_cell_angle_beta 90.00
_cell_angle_gamma 90.00
_space_group_name_H-M_alt 'P 4/m m m'
_space_group_IT_number 123
_space_group_name_Hall '-P 4 2'
loop_
_atom_site_label
_atom_site_type_symbol
_atom_site_fract_x
_atom_site_fract_y
_atom_site_fract_z
Er1 Er 0.000 0.000 0.000
As1 As 0.500 0.500 0.212
Ir1 Ir 0.500 0.500 0.500
Rh1 Rh 0.000 0.500 0.350
Rh2 Rh 0.500 0.500 0.000

Q: Number 4 is which compound?
A: GaB2S6